(P)
A plane-wave DFT calculation with GGA-PBE was carried out for a geometry-optimized InRh2Cl structure.

extended XYZ file:
```
4
Lattice="3.559 0.000 0.000 0.000 2.978 0.217 0.000 2.436 7.305" Properties=species:S:1:pos:R:3 pbc="T T T"
Cl 0.000 1.631 3.310
In 1.779 4.388 6.120
Rh 0.000 0.358 0.156
Rh 1.779 1.744 1.698
```



(Q)
A plane-wave DFT calculation with GGA-PBE was carried out for a geometry-optimized InRh2Cl structure.

extended XYZ file:
```
4
Lattice="-2.716 3.333 1.697 -1.340 -0.138 4.422 1.702 3.051 3.027" Properties=species:S:1:pos:R:3 pbc="T T T"
Cl -1.177 3.123 4.572
In -1.766 4.685 6.859
Rh 0.000 0.000 0.000
Rh -0.589 1.562 2.286
```



(R)
A plane-wave DFT calculation with GGA-PBE was carried out for a geometry-optimized InRh2Cl structure.

extended XYZ file:
```
4
Lattice="0.000 3.239 3.239 3.239 0.000 3.239 3.239 3.239 0.000" Properties=species:S:1:pos:R:3 pbc="T T T"
Cl 0.000 0.000 0.000
Rh 1.620 1.620 1.620
Rh 4.859 4.859 4.859
In 3.239 3.239 3.239
```



Q: Which of them is the least stable? A: (Q).



(P)
A plane-wave DFT calculation with GGA-PBE was carried out for a geometry-optimized InRh2Cl structure.

extended XYZ file:
```
4
Lattice="5.546 -0.006 0.000 2.984 4.675 0.000 -4.265 -2.335 2.669" Properties=species:S:1:pos:R:3 pbc="T T T"
Cl 4.265 2.335 0.000
In 2.773 -0.003 1.334
Rh 0.000 0.000 0.000
Rh 1.492 2.338 1.334
```



(Q)
A plane-wave DFT calculation with GGA-PBE was carried out for a geometry-optimized InRh2Cl structure.

extended XYZ file:
```
4
Lattice="-0.569 -4.193 -3.263 3.140 0.371 -4.307 -0.361 -0.486 5.309" Properties=species:S:1:pos:R:3 pbc="T T T"
Cl 0.177 -3.295 -0.869
In 2.032 -1.013 -1.392
Rh 2.549 -3.790 -7.508
Rh 1.306 -1.943 -3.847
```



(R)
A plane-wave DFT calculation with GGA-PBE was carried out for a geometry-optimized InRh2Cl structure.

extended XYZ file:
```
4
Lattice="-0.791 1.534 2.559 -2.458 -1.835 0.340 4.122 -4.754 4.124" Properties=species:S:1:pos:R:3 pbc="T T T"
Cl 1.923 -2.218 1.924
In 1.619 -3.892 4.694
Rh 0.059 -0.068 0.059
Rh -0.667 -1.255 2.407
```



Q: Which of them is the least stable? A: (P).



(P)
A plane-wave DFT calculation with GGA-PBE was carried out for a geometry-optimized InRh2Cl structure.

extended XYZ file:
```
4
Lattice="3.174 0.000 0.000 0.000 3.174 0.000 0.000 0.000 6.755" Properties=species:S:1:pos:R:3 pbc="T T T"
Cl 1.587 1.587 1.689
In 1.587 1.587 5.066
Rh 0.000 0.000 6.646
Rh 0.000 0.000 3.486
```



(Q)
A plane-wave DFT calculation with GGA-PBE was carried out for a geometry-optimized InRh2Cl structure.

extended XYZ file:
```
4
Lattice="-2.050 -5.239 0.349 -0.776 -3.229 -4.554 3.518 2.953 3.268" Properties=species:S:1:pos:R:3 pbc="T T T"
Cl -1.455 -4.358 -2.165
In 0.671 -2.236 -1.685
Rh -2.798 -8.382 -4.163
Rh 0.034 -3.240 0.766
```



(R)
A plane-wave DFT calculation with GGA-PBE was carried out for a geometry-optimized InRh2Cl structure.

extended XYZ file:
```
4
Lattice="-0.603 -2.725 1.308 2.916 0.899 -0.435 0.011 3.636 7.583" Properties=species:S:1:pos:R:3 pbc="T T T"
Cl 1.159 -0.004 2.332
In 1.164 1.814 6.123
Rh 0.000 0.031 0.065
Rh 0.005 1.787 3.726
```



Q: Which of them is the least stable? A: (Q).



(P)
A plane-wave DFT calculation with GGA-PBE was carried out for a geometry-optimized InRh2Cl structure.

extended XYZ file:
```
4
Lattice="8.270 -0.003 -0.002 7.687 3.049 -0.002 7.687 1.467 2.673" Properties=species:S:1:pos:R:3 pbc="T T T"
Cl 5.911 1.128 0.667
In 17.733 3.385 2.002
Rh 23.586 4.503 2.663
Rh 11.879 2.268 1.341
```



(Q)
A plane-wave DFT calculation with GGA-PBE was carried out for a geometry-optimized InRh2Cl structure.

extended XYZ file:
```
8
Lattice="4.551 0.000 0.000 0.000 4.551 0.000 2.275 2.275 7.723" Properties=species:S:1:pos:R:3 pbc="T T T"
Cl 2.275 2.275 0.000
Cl 2.275 4.551 3.862
Rh 3.003 1.138 1.931
Rh 1.548 3.413 1.931
Rh 3.413 3.823 5.793
Rh 5.689 5.278 5.793
In 0.000 0.000 0.000
In 4.551 2.275 3.862
```



Q: Which of them is the least stable? A: (Q).



(P)
A plane-wave DFT calculation with GGA-PBE was carried out for a geometry-optimized InRh2Cl structure.

extended XYZ file:
```
4
Lattice="-3.021 7.696 -1.336 -4.983 6.665 0.934 -2.169 7.905 1.713" Properties=species:S:1:pos:R:3 pbc="T T T"
Cl -5.128 11.224 0.661
In -7.592 16.617 0.978
Rh -10.155 22.228 1.309
Rh -2.557 5.597 0.330
```



(Q)
A plane-wave DFT calculation with GGA-PBE was carried out for a geometry-optimized InRh2Cl structure.

extended XYZ file:
```
4
Lattice="3.079 0.000 0.000 0.000 3.800 0.000 0.000 0.000 5.948" Properties=species:S:1:pos:R:3 pbc="T T T"
Cl 0.000 0.000 2.412
In 1.539 1.900 4.741
Rh 0.000 0.000 0.065
Rh 1.539 1.900 1.703
```



Q: Which of them is the least stable? A: (P).



(P)
A plane-wave DFT calculation with GGA-PBE was carried out for a geometry-optimized InRh2Cl structure.

extended XYZ file:
```
4
Lattice="-1.757 0.184 -5.199 1.081 -1.008 -5.288 -1.672 -3.988 0.088" Properties=species:S:1:pos:R:3 pbc="T T T"
Cl -1.224 -2.508 -5.405
In -0.599 -1.208 -2.921
Rh -2.285 -4.671 -10.239
Rh -1.764 -3.643 -7.434
```



(Q)
A plane-wave DFT calculation with GGA-PBE was carried out for a geometry-optimized InRh2Cl structure.

extended XYZ file:
```
4
Lattice="-1.813 2.338 0.412 -3.994 -2.800 -1.677 -0.797 -1.349 4.150" Properties=species:S:1:pos:R:3 pbc="T T T"
Cl -1.305 0.495 2.281
In -2.395 -2.075 1.236
Rh 0.000 0.000 0.000
Rh -2.903 -0.231 -0.633
```



Q: Which of them is the least stable? A: (Q).



(P)
A plane-wave DFT calculation with GGA-PBE was carried out for a geometry-optimized InRuCl3 structure.

extended XYZ file:
```
5
Lattice="4.926 0.000 0.000 0.000 4.926 0.000 0.000 0.000 4.926" Properties=species:S:1:pos:R:3 pbc="T T T"
Ru 0.000 0.000 0.000
Cl 0.000 2.463 0.000
Cl 0.000 0.000 2.463
Cl 2.463 0.000 0.000
In 2.463 2.463 2.463
```



(Q)
A plane-wave DFT calculation with GGA-PBE was carried out for a geometry-optimized InRuCl3 structure.

extended XYZ file:
```
5
Lattice="5.263 0.000 0.000 0.000 5.263 0.000 0.000 0.000 5.263" Properties=species:S:1:pos:R:3 pbc="T T T"
Ru 2.632 2.632 2.632
Cl 0.000 2.632 0.000
Cl 0.000 0.000 2.632
Cl 2.632 0.000 0.000
In 0.000 0.000 0.000
```



Q: Which of them is the least stable? A: (Q).



(P)
A plane-wave DFT calculation with GGA-PBE was carried out for a geometry-optimized InRuCl structure.

extended XYZ file:
```
3
Lattice="-4.958 5.928 -0.623 -6.599 3.356 0.127 0.795 2.167 2.131" Properties=species:S:1:pos:R:3 pbc="T T T"
Cl -11.190 9.073 -0.418
In -7.644 7.030 0.336
Ru -3.484 4.633 1.221
```



(Q)
A plane-wave DFT calculation with GGA-PBE was carried out for a geometry-optimized InRuCl structure.

extended XYZ file:
```
3
Lattice="-2.707 0.244 -1.902 2.812 -1.224 -1.265 -1.664 -5.534 1.658" Properties=species:S:1:pos:R:3 pbc="T T T"
Cl -1.620 -5.388 1.614
In -1.459 -2.215 -1.100
Ru -0.143 -4.445 -0.366
```



(R)
A plane-wave DFT calculation with GGA-PBE was carried out for a geometry-optimized InRuCl structure.

extended XYZ file:
```
3
Lattice="4.496 0.000 0.000 2.248 3.894 0.000 2.248 1.298 3.671" Properties=species:S:1:pos:R:3 pbc="T T T"
Cl 0.000 0.000 0.000
In 4.496 2.596 1.836
Ru 6.744 3.894 2.753
```



(S)
A plane-wave DFT calculation with GGA-PBE was carried out for a geometry-optimized InRuCl structure.

extended XYZ file:
```
3
Lattice="-2.699 -2.482 -4.964 1.304 -4.470 -4.050 -0.361 1.958 5.841" Properties=species:S:1:pos:R:3 pbc="T T T"
Cl -0.034 -0.169 -0.219
In -0.422 -2.104 -2.728
Ru -0.938 -4.679 -6.067
```



Q: Which of them is the least stable? A: (R).



(P)
A plane-wave DFT calculation with GGA-PBE was carried out for a geometry-optimized InRuSCl2 structure.

extended XYZ file:
```
5
Lattice="-3.617 0.762 -3.409 -1.169 -4.888 0.149 -3.336 0.912 3.744" Properties=species:S:1:pos:R:3 pbc="T T T"
Ru -4.061 -1.607 0.242
S -1.668 0.456 1.872
Cl -0.585 -2.444 0.074
Cl -1.809 0.381 -1.704
In 0.000 0.000 0.000
```



(Q)
A plane-wave DFT calculation with GGA-PBE was carried out for a geometry-optimized InRuSCl2 structure.

extended XYZ file:
```
5
Lattice="-1.062 -2.348 4.353 4.899 0.113 1.257 -0.587 3.862 1.940" Properties=species:S:1:pos:R:3 pbc="T T T"
Ru 0.000 0.000 0.000
S -0.294 1.931 0.970
Cl 2.449 0.057 0.628
Cl -0.531 -1.174 2.176
In 1.625 0.814 3.775
```



Q: Which of them is the least stable? A: (P).



(P)
A plane-wave DFT calculation with GGA-PBE was carried out for a geometry-optimized InS2Cl structure.

extended XYZ file:
```
8
Lattice="6.721 0.000 0.000 0.000 6.721 0.000 3.360 3.360 4.932" Properties=species:S:1:pos:R:3 pbc="T T T"
S 5.312 1.680 1.233
S 1.409 5.040 1.233
S 5.040 4.769 3.699
S 8.401 8.672 3.699
Cl 3.360 3.360 0.000
Cl 3.360 6.721 2.466
In 0.000 0.000 0.000
In 6.721 3.360 2.466
```



(Q)
A plane-wave DFT calculation with GGA-PBE was carried out for a geometry-optimized InS2Cl structure.

extended XYZ file:
```
4
Lattice="2.285 0.000 7.392 -1.142 1.979 7.392 -1.142 -1.979 7.392" Properties=species:S:1:pos:R:3 pbc="T T T"
S 0.000 0.000 19.832
S 0.000 0.000 2.344
Cl 0.000 0.000 0.000
In 0.000 0.000 11.088
```



Q: Which of them is the least stable? A: (P).



(P)
A plane-wave DFT calculation with GGA-PBE was carried out for a geometry-optimized InSCl3 structure.

extended XYZ file:
```
20
Lattice="12.865 -1.310 1.014 0.668 7.676 -1.241 -0.957 -1.428 7.613" Properties=species:S:1:pos:R:3 pbc="T T T"
In 10.081 5.370 0.807
In 2.496 -0.432 6.579
In 8.922 -1.124 7.122
In 3.655 6.062 0.263
S 11.881 1.559 3.840
S 7.119 2.669 4.107
S 0.696 3.379 3.546
S 5.458 2.269 3.279
Cl 2.112 0.728 1.097
Cl 4.039 4.903 5.744
Cl 10.465 4.210 6.288
Cl 8.538 0.035 1.641
Cl 1.030 -0.453 4.772
Cl 4.227 1.081 6.935
Cl 11.547 5.391 2.613
Cl 8.349 3.858 0.450
Cl 7.446 -1.141 5.324
Cl 10.662 0.379 7.477
Cl 5.131 6.080 2.062
Cl 1.914 4.560 -0.091
```



(Q)
A plane-wave DFT calculation with GGA-PBE was carried out for a geometry-optimized InSCl3 structure.

extended XYZ file:
```
5
Lattice="5.032 0.000 0.000 0.000 5.032 0.000 0.000 0.000 5.032" Properties=species:S:1:pos:R:3 pbc="T T T"
S 0.000 0.000 0.000
Cl 0.000 2.516 0.000
Cl 0.000 0.000 2.516
Cl 2.516 0.000 0.000
In 2.516 2.516 2.516
```



Q: Which of them is the least stable? A: (Q).